{"formula": "TbDy2Rh", "functional": "PBE", "state": "relaxed", "space_group": "Pnma, No. 62", "lattice": [[-3.6977, 0.6495, -5.0734], [-3.4925, -5.9982, 1.7776], [-6.1445, 5.0982, 5.1310]], "species": ["Rh", "Rh", "Rh", "Rh", "Dy", "Dy", "Dy", "Dy", "Dy", "Dy", "Dy", "Dy", "Tb", "Tb", "Tb", "Tb"], "frac_coords": [[0.0587, 0.3822, 0.2500], [0.4413, 0.8822, 0.2500], [0.5587, 0.1178, 0.7500], [0.9413, 0.6178, 0.7500], [0.1709, 0.6772, 0.4363], [0.8291, 0.3228, 0.9363], [0.6709, 0.8228, 0.9363], [0.6709, 0.8228, 0.5637], [0.1709, 0.6772, 0.0637], [0.8291, 0.3228, 0.5637], [0.3291, 0.1772, 0.4363], [0.3291, 0.1772, 0.0637], [0.8622, 0.0350, 0.2500], [0.3622, 0.4650, 0.7500], [0.6378, 0.5350, 0.2500], [0.1378, 0.9650, 0.7500]]}

---

{"formula": "TbDy2Rh", "functional": "PBE", "state": "relaxed", "space_group": "P4/mmm, No. 123", "lattice": [[-1.4835, 2.4068, 2.0664], [-3.1502, -1.3855, -0.6478], [0.9154, -5.2450, 6.7663]], "species": ["Dy", "Dy", "Rh", "Tb"], "frac_coords": [[0.0000, 0.0000, 0.8103], [0.0000, 0.0000, 0.1897], [0.5000, 0.5000, 0.0000], [0.5000, 0.5000, 0.5000]]}

---

{"formula": "Tb2DyRh3", "functional": "PBE", "state": "relaxed", "space_group": "P4/mmm, No. 123", "lattice": [[3.4369, 0.0000, 0.0000], [0.0000, 3.4369, 0.0000], [0.0000, 0.0000, 10.3089]], "species": ["Tb", "Tb", "Dy", "Rh", "Rh", "Rh"], "frac_coords": [[0.5000, 0.5000, 0.1671], [0.5000, 0.5000, 0.8329], [0.5000, 0.5000, 0.5000], [0.0000, 0.0000, 0.6656], [0.0000, 0.0000, 0.3344], [0.0000, 0.0000, 0.0000]]}

---

{"formula": "Tb2DyRh3", "functional": "PBE", "state": "relaxed", "space_group": "P-3m1, No. 164", "lattice": [[4.8612, 0.0000, 0.0000], [-2.4306, 4.2099, 0.0000], [0.0000, 0.0000, 11.8771]], "species": ["Rh", "Rh", "Rh", "Rh", "Rh", "Rh", "Dy", "Dy", "Tb", "Tb", "Tb", "Tb"], "frac_coords": [[0.0000, 0.0000, 0.2507], [0.6667, 0.3333, 0.5832], [0.3333, 0.6667, 0.4168], [0.3333, 0.6667, 0.9161], [0.0000, 0.0000, 0.7493], [0.6667, 0.3333, 0.0839], [0.3333, 0.6667, 0.6664], [0.6667, 0.3333, 0.3336], [0.0000, 0.0000, 0.0000], [0.0000, 0.0000, 0.5000], [0.6667, 0.3333, 0.8328], [0.3333, 0.6667, 0.1672]]}

---

{"formula": "TbDy2Rh", "functional": "PBE", "state": "relaxed", "space_group": "Cmcm, No. 63", "lattice": [[3.7987, -0.1502, 0.0000], [-1.6655, 6.0188, 0.0000], [0.0000, 0.0000, 9.4574]], "species": ["Rh", "Rh", "Tb", "Tb", "Dy", "Dy", "Dy", "Dy"], "frac_coords": [[0.7425, 0.4846, 0.2500], [0.2575, 0.5154, 0.7500], [0.5768, 0.1537, 0.7500], [0.4232, 0.8463, 0.2500], [0.1387, 0.2769, 0.0675], [0.1387, 0.2769, 0.4325], [0.8613, 0.7231, 0.9325], [0.8613, 0.7231, 0.5675]]}

---

{"formula": "Tb3DyRh", "functional": "PBE", "state": "relaxed", "space_group": "Pm-3m, No. 221", "lattice": [[5.4235, 0.0000, 0.0000], [0.0000, 5.4235, 0.0000], [0.0000, 0.0000, 5.4235]], "species": ["Tb", "Tb", "Tb", "Rh", "Dy"], "frac_coords": [[0.0000, 0.5000, 0.0000], [0.0000, 0.0000, 0.5000], [0.5000, 0.0000, 0.0000], [0.0000, 0.0000, 0.0000], [0.5000, 0.5000, 0.5000]]}

---

Number 1: excess energy over the best structure of this formula in the dataset 0 meV/atom, density 9.1 g/cm3, energy relative to the elements -2.10 eV per formula unit. Number 2: excess energy over the best structure of this formula in the dataset 122 meV/atom, density 9.2 g/cm3, energy relative to the elements -1.61 eV per formula unit. Number 3: excess energy over the best structure of this formula in the dataset 5 meV/atom, density 10.8 g/cm3, energy relative to the elements -5.12 eV per formula unit. Number 4: excess energy over the best structure of this formula in the dataset 0 meV/atom, density 10.8 g/cm3, energy relative to the elements -5.14 eV per formula unit. Number 5: excess energy over the best structure of this formula in the dataset 32 meV/atom, density 9.1 g/cm3, energy relative to the elements -1.97 eV per formula unit. Number 6: excess energy over the best structure of this formula in the dataset 88 meV/atom, density 7.7 g/cm3, energy relative to the elements -0.98 eV per formula unit.